(1)
Crystalline Er3Pa at its relaxed geometry. Source: the Alexandria database, functional PBE.

- Energy above the lowest structure with this stoichiometry: 0.0 meV/atom

CIF file:
```
data_Er3Pa
_symmetry_space_group_name_H-M 'P 1'
_symmetry_Int_Tables_number 1
_symmetry_space_group_name_Hall 'P 1'
_cell_length_a 3.431
_cell_length_b 6.016
_cell_length_c 6.593
_cell_angle_alpha 117.14
_cell_angle_beta 105.08
_cell_angle_gamma 90.00
loop_
_atom_site_label
_atom_site_type_symbol
_atom_site_fract_x
_atom_site_fract_y
_atom_site_fract_z
Pa1 Pa 0.000 0.993 0.000
Er1 Er 0.255 0.591 0.510
Er2 Er 0.500 0.502 0.000
Er3 Er 0.745 0.081 0.490
```

=====

(2)
Crystalline Er2Pa at its relaxed geometry. Source: the Alexandria database, functional PBE.

- Energy above the lowest structure with this stoichiometry: 58.4 meV/atom

CIF file:
```
data_Er2Pa
_symmetry_space_group_name_H-M 'P 1'
_symmetry_Int_Tables_number 1
_symmetry_space_group_name_Hall 'P 1'
_cell_length_a 3.388
_cell_length_b 3.388
_cell_length_c 7.830
_cell_angle_alpha 102.49
_cell_angle_beta 102.49
_cell_angle_gamma 89.93
loop_
_atom_site_label
_atom_site_type_symbol
_atom_site_fract_x
_atom_site_fract_y
_atom_site_fract_z
Pa1 Pa 0.500 0.500 0.000
Er1 Er 0.158 0.158 0.316
Er2 Er 0.842 0.842 0.684
```

=====

(3)
Crystalline Er4Pa at its relaxed geometry. Source: the Alexandria database, functional PBE.

CIF file:
```
data_Er4Pa
_symmetry_space_group_name_H-M 'P 1'
_symmetry_Int_Tables_number 1
_symmetry_space_group_name_Hall 'P 1'
_cell_length_a 5.585
_cell_length_b 5.585
_cell_length_c 5.585
_cell_angle_alpha 90.00
_cell_angle_beta 90.00
_cell_angle_gamma 90.00
loop_
_atom_site_label
_atom_site_type_symbol
_atom_site_fract_x
_atom_site_fract_y
_atom_site_fract_z
Pa1 Pa 0.500 0.500 0.500
Er1 Er 0.000 0.000 0.000
Er2 Er 0.500 0.000 0.500
Er3 Er 0.000 0.500 0.500
Er4 Er 0.500 0.500 0.000
```

=====

(4)
Crystalline ErPa2 at its relaxed geometry. Source: the Alexandria database, functional PBE.

- Energy above the lowest structure with this stoichiometry: 0.0 meV/atom

CIF file:
```
data_ErPa2
_symmetry_space_group_name_H-M 'P 1'
_symmetry_Int_Tables_number 1
_symmetry_space_group_name_Hall 'P 1'
_cell_length_a 6.136
_cell_length_b 6.136
_cell_length_c 6.136
_cell_angle_alpha 60.00
_cell_angle_beta 60.00
_cell_angle_gamma 60.00
loop_
_atom_site_label
_atom_site_type_symbol
_atom_site_fract_x
_atom_site_fract_y
_atom_site_fract_z
Pa1 Pa 0.125 0.625 0.625
Pa2 Pa 0.625 0.125 0.625
Pa3 Pa 0.625 0.625 0.625
Pa4 Pa 0.625 0.625 0.125
Er1 Er 0.000 0.000 0.000
Er2 Er 0.250 0.250 0.250
```

=====

(5)
Crystalline Er5Pa at its relaxed geometry. Source: the Alexandria database, functional PBE.

CIF file:
```
data_Er5Pa
_symmetry_space_group_name_H-M 'P 1'
_symmetry_Int_Tables_number 1
_symmetry_space_group_name_Hall 'P 1'
_cell_length_a 3.512
_cell_length_b 5.763
_cell_length_c 9.243
_cell_angle_alpha 108.16
_cell_angle_beta 90.00
_cell_angle_gamma 90.00
loop_
_atom_site_label
_atom_site_type_symbol
_atom_site_fract_x
_atom_site_fract_y
_atom_site_fract_z
Pa1 Pa 0.000 0.000 0.000
Er1 Er 0.000 0.676 0.352
Er2 Er 0.000 0.324 0.648
Er3 Er 0.500 0.500 0.000
Er4 Er 0.500 0.153 0.306
Er5 Er 0.500 0.847 0.694
```

=====

(6)
Crystalline Er3Pa at its relaxed geometry. Source: the Alexandria database, functional PBE.

- Energy above the lowest structure with this stoichiometry: 15.1 meV/atom

CIF file:
```
data_Er3Pa
_symmetry_space_group_name_H-M 'P 1'
_symmetry_Int_Tables_number 1
_symmetry_space_group_name_Hall 'P 1'
_cell_length_a 3.407
_cell_length_b 5.615
_cell_length_c 6.061
_cell_angle_alpha 90.00
_cell_angle_beta 90.00
_cell_angle_gamma 90.00
loop_
_atom_site_label
_atom_site_type_symbol
_atom_site_fract_x
_atom_site_fract_y
_atom_site_fract_z
Pa1 Pa 0.000 0.000 0.999
Er1 Er 0.000 0.500 0.320
Er2 Er 0.500 0.000 0.513
Er3 Er 0.500 0.500 0.835
```

=====

(7)
Crystalline Er3Pa at its relaxed geometry. Source: the Alexandria database, functional PBE.

- Energy above the lowest structure with this stoichiometry: 26.8 meV/atom

CIF file:
```
data_Er3Pa
_symmetry_space_group_name_H-M 'P 1'
_symmetry_Int_Tables_number 1
_symmetry_space_group_name_Hall 'P 1'
_cell_length_a 4.867
_cell_length_b 4.867
_cell_length_c 4.867
_cell_angle_alpha 90.00
_cell_angle_beta 90.00
_cell_angle_gamma 90.00
loop_
_atom_site_label
_atom_site_type_symbol
_atom_site_fract_x
_atom_site_fract_y
_atom_site_fract_z
Pa1 Pa 0.000 0.000 0.000
Er1 Er 0.000 0.500 0.500
Er2 Er 0.500 0.000 0.500
Er3 Er 0.500 0.500 0.000
```

=====

(8)
Crystalline Er3Pa at its relaxed geometry. Source: the Alexandria database, functional PBE.

- Energy above the lowest structure with this stoichiometry: 58.0 meV/atom

CIF file:
```
data_Er3Pa
_symmetry_space_group_name_H-M 'P 1'
_symmetry_Int_Tables_number 1
_symmetry_space_group_name_Hall 'P 1'
_cell_length_a 4.879
_cell_length_b 4.879
_cell_length_c 5.973
_cell_angle_alpha 114.11
_cell_angle_beta 114.11
_cell_angle_gamma 90.00
loop_
_atom_site_label
_atom_site_type_symbol
_atom_site_fract_x
_atom_site_fract_y
_atom_site_fract_z
Pa1 Pa 0.000 0.000 0.000
Er1 Er 0.750 0.250 0.500
Er2 Er 0.250 0.750 0.500
Er3 Er 0.500 0.500 0.000
```

=====

no.,energy of formation (meV/atom)
1,170
2,140
3,888
4,231
5,217
6,185
7,197
8,228